# 1
{"formula": "Cs3Li2CuCl6", "functional": "PBE-GGA", "state": "optimized geometry", "energy_ev_per_atom": -3.338, "e_form_raw_ev_per_atom": -1.541, "magmom_total_mub_per_cell": 0.12, "lattice": [[7.4546, 0.0000, 0.0000], [-3.7273, 6.4559, 0.0000], [0.0000, 0.0000, 8.6930]], "species": ["Cs", "Cs", "Cs", "Li", "Li", "Cu", "Cl", "Cl", "Cl", "Cl", "Cl", "Cl"], "frac_coords": [[0.0000, 0.0000, 0.0000], [0.3333, 0.6667, 0.6500], [0.6667, 0.3333, 0.3500], [0.3333, 0.6667, 0.2646], [0.6667, 0.3333, 0.7354], [0.0000, 0.0000, 0.5000], [0.1621, 0.3243, 0.3120], [0.1621, 0.8379, 0.3120], [0.3243, 0.1621, 0.6880], [0.6757, 0.8379, 0.3120], [0.8379, 0.1621, 0.6880], [0.8379, 0.6757, 0.6880]]}

***

# 2
{"formula": "Mo2AsRh", "functional": "PBE-GGA", "state": "optimized geometry", "energy_ev_per_atom": -8.444, "magmom_total_mub_per_cell": 0.00, "formation_energy_ev_per_atom": -0.03, "lattice": [[3.0940, 0.0000, 0.0000], [0.0000, 4.4401, 0.0000], [0.0000, 0.0000, 8.8757]], "species": ["Mo", "Mo", "Mo", "Mo", "As", "As", "Rh", "Rh"], "frac_coords": [[0.0000, 0.0000, 0.2289], [0.0000, 0.0000, 0.7711], [0.5000, 0.5000, 0.2711], [0.5000, 0.5000, 0.7289], [0.0000, 0.5000, 0.5000], [0.5000, 0.0000, 0.0000], [0.0000, 0.5000, 0.0000], [0.5000, 0.0000, 0.5000]]}

***

# 3
{"formula": "La2HgW", "functional": "PBE-GGA", "state": "optimized geometry", "energy_ev_per_atom": -5.338, "magmom_total_mub_per_cell": 0.00, "formation_energy_ev_per_atom": 0.44, "lattice": [[8.3375, 0.0000, 0.0000], [0.0000, 3.2186, 0.0000], [-0.9217, 0.0000, 8.4619]], "species": ["La", "La", "La", "La", "Hg", "Hg", "W", "W"], "frac_coords": [[0.2491, 0.0000, 0.2855], [0.2509, 0.5000, 0.7145], [0.7491, 0.5000, 0.2855], [0.7509, 0.0000, 0.7145], [0.0000, 0.5000, 0.0000], [0.5000, 0.0000, 0.0000], [0.0000, 0.0000, 0.5000], [0.5000, 0.5000, 0.5000]]}

***

# 4
{"formula": "Zr2Be3ZnPt4", "functional": "PBE-GGA", "state": "optimized geometry", "energy_ev_per_atom": -6.084, "magmom_total_mub_per_cell": 0.00, "formation_energy_ev_per_atom": -0.71, "lattice": [[3.8979, 0.0000, 0.0000], [0.0000, 3.8979, 0.0000], [0.0000, 0.0000, 9.9675]], "species": ["Zr", "Zr", "Be", "Be", "Be", "Zn", "Pt", "Pt", "Pt", "Pt"], "frac_coords": [[0.0000, 0.5000, 0.2391], [0.5000, 0.0000, 0.7609], [0.0000, 0.5000, 0.8756], [0.5000, 0.0000, 0.1244], [0.5000, 0.5000, 0.5000], [0.0000, 0.0000, 0.5000], [0.0000, 0.0000, 0.0000], [0.0000, 0.5000, 0.6541], [0.5000, 0.0000, 0.3459], [0.5000, 0.5000, 0.0000]]}

***

# 5
{"formula": "LaSn2Pd5", "functional": "PBE-GGA", "state": "optimized geometry", "energy_ev_per_atom": -5.473, "magmom_total_mub_per_cell": 0.00, "formation_energy_ev_per_atom": -0.61, "relative_energy_ev_per_atom": 0.038, "lattice": [[4.0452, 0.0000, 0.0000], [0.0000, 7.1601, 0.0000], [0.0000, 0.0000, 11.1851]], "species": ["La", "La", "Sn", "Sn", "Sn", "Sn", "Pd", "Pd", "Pd", "Pd", "Pd", "Pd", "Pd", "Pd", "Pd", "Pd"], "frac_coords": [[0.0000, 0.0000, 0.0000], [0.5000, 0.5000, 0.5000], [0.0000, 0.5000, 0.2397], [0.0000, 0.5000, 0.7603], [0.5000, 0.0000, 0.2603], [0.5000, 0.0000, 0.7397], [0.0000, 0.1991, 0.3732], [0.0000, 0.1991, 0.6268], [0.0000, 0.5000, 0.0000], [0.0000, 0.8009, 0.3732], [0.0000, 0.8009, 0.6268], [0.5000, 0.0000, 0.5000], [0.5000, 0.3009, 0.1268], [0.5000, 0.3009, 0.8732], [0.5000, 0.6991, 0.1268], [0.5000, 0.6991, 0.8732]]}

***

# 6
{"formula": "TbBePd3", "functional": "PBE-GGA", "state": "optimized geometry", "energy_ev_per_atom": -5.508, "magmom_total_mub_per_cell": 0.00, "formation_energy_ev_per_atom": -0.72, "relative_energy_ev_per_atom": 0.000, "lattice": [[4.9705, -2.9721, 0.0000], [4.9705, 2.9721, 0.0000], [-4.1352, 0.0000, 11.2563]], "species": ["Tb", "Tb", "Tb", "Tb", "Be", "Be", "Be", "Be", "Pd", "Pd", "Pd", "Pd", "Pd", "Pd", "Pd", "Pd", "Pd", "Pd", "Pd", "Pd"], "frac_coords": [[0.0542, 0.7072, 0.8508], [0.2928, 0.9458, 0.6492], [0.7072, 0.0542, 0.3508], [0.9458, 0.2928, 0.1492], [0.0000, 0.5000, 0.5000], [0.2311, 0.7689, 0.2500], [0.5000, 0.0000, 0.0000], [0.7689, 0.2311, 0.7500], [0.0837, 0.2345, 0.9131], [0.2186, 0.5753, 0.3939], [0.2345, 0.0837, 0.4131], [0.3292, 0.4220, 0.6480], [0.4220, 0.3292, 0.1480], [0.4247, 0.7814, 0.1061], [0.5753, 0.2186, 0.8939], [0.5780, 0.6708, 0.8520], [0.6708, 0.5780, 0.3520], [0.7655, 0.9163, 0.5869], [0.7814, 0.4247, 0.6061], [0.9163, 0.7655, 0.0869]]}

***

# 7
{"formula": "LiNpCuBr6", "functional": "PBE-GGA", "state": "optimized geometry", "energy_ev_per_atom": -4.256, "e_form_raw_ev_per_atom": -1.035, "magmom_total_mub_per_cell": 5.97, "lattice": [[6.5918, 0.0000, 0.0000], [0.0000, 6.5918, 0.0000], [0.0000, 0.0000, 11.9744]], "species": ["Li", "Li", "Np", "Np", "Cu", "Cu", "Br", "Br", "Br", "Br", "Br", "Br", "Br", "Br", "Br", "Br", "Br", "Br"], "frac_coords": [[0.0000, 0.0000, 0.0000], [0.5000, 0.5000, 0.5000], [0.0000, 0.0000, 0.6660], [0.5000, 0.5000, 0.1660], [0.0000, 0.0000, 0.3445], [0.5000, 0.5000, 0.8445], [0.1968, 0.1968, 0.1724], [0.2002, 0.2002, 0.4923], [0.2045, 0.2045, 0.8350], [0.2955, 0.7045, 0.3350], [0.2998, 0.7002, 0.9923], [0.3032, 0.6968, 0.6724], [0.6968, 0.3032, 0.6724], [0.7002, 0.2998, 0.9923], [0.7045, 0.2955, 0.3350], [0.7955, 0.7955, 0.8350], [0.7998, 0.7998, 0.4923], [0.8032, 0.8032, 0.1724]]}

***

# 8
{"formula": "CaTiS2Cl", "functional": "PBE-GGA", "state": "optimized geometry", "energy_ev_per_atom": -4.209, "e_form_raw_ev_per_atom": -0.209, "magmom_total_mub_per_cell": 0.04, "relative_energy_ev_per_atom": 1.213, "lattice": [[5.2023, 0.0000, 0.0000], [0.0000, 5.2023, 0.0000], [0.0000, 0.0000, 4.9394]], "species": ["Ca", "Ti", "S", "S", "Cl"], "frac_coords": [[0.0000, 0.0000, 0.0000], [0.5000, 0.5000, 0.5000], [0.0000, 0.5000, 0.0000], [0.5000, 0.0000, 0.0000], [0.0000, 0.0000, 0.5000]]}

***

# 9
{"formula": "K3Er3ZrSe8", "functional": "PBE-GGA", "state": "optimized geometry", "energy_ev_per_atom": -5.237, "e_form_raw_ev_per_atom": -1.677, "magmom_total_mub_per_cell": 0.00, "lattice": [[4.0904, 2.3616, 7.8327], [-4.0904, 2.3616, 7.8327], [0.0000, -4.7232, 7.8327]], "species": ["K", "K", "K", "Er", "Er", "Er", "Zr", "Se", "Se", "Se", "Se", "Se", "Se", "Se", "Se"], "frac_coords": [[0.0000, 0.5000, 0.5000], [0.5000, 0.0000, 0.5000], [0.5000, 0.5000, 0.0000], [0.0000, 0.0000, 0.5000], [0.0000, 0.5000, 0.0000], [0.5000, 0.0000, 0.0000], [0.5000, 0.5000, 0.5000], [0.2344, 0.2344, 0.2344], [0.2442, 0.7265, 0.7265], [0.2735, 0.2735, 0.7558], [0.2735, 0.7558, 0.2735], [0.7265, 0.2442, 0.7265], [0.7265, 0.7265, 0.2442], [0.7558, 0.2735, 0.2735], [0.7656, 0.7656, 0.7656]]}

***

# 10
{"formula": "Tc2AgTe", "functional": "PBE-GGA", "state": "optimized geometry", "energy_ev_per_atom": -6.024, "e_form_raw_ev_per_atom": 0.657, "magmom_total_mub_per_cell": 0.00, "lattice": [[3.0973, 0.0000, 0.0000], [0.0000, 4.1498, 0.0000], [-1.4604, 0.0000, 5.4367]], "species": ["Tc", "Tc", "Ag", "Te"], "frac_coords": [[0.1204, 0.0000, 0.2487], [0.8796, 0.0000, 0.7513], [0.5000, 0.5000, 0.0000], [0.5000, 0.5000, 0.5000]]}

***

# 11
{"formula": "SrIn2Rh", "functional": "PBE-GGA", "state": "optimized geometry", "energy_ev_per_atom": -3.904, "magmom_total_mub_per_cell": 0.00, "formation_energy_ev_per_atom": -0.28, "lattice": [[3.4420, 0.0000, 0.0000], [0.0000, 5.3955, 0.0000], [0.0000, 0.0000, 10.7387]], "species": ["Sr", "Sr", "In", "In", "In", "In", "Rh", "Rh"], "frac_coords": [[0.0000, 0.0000, 0.0000], [0.5000, 0.5000, 0.5000], [0.0000, 0.5000, 0.2026], [0.0000, 0.5000, 0.7974], [0.5000, 0.0000, 0.2974], [0.5000, 0.0000, 0.7026], [0.0000, 0.0000, 0.5000], [0.5000, 0.5000, 0.0000]]}

***

# 12
{"formula": "Ta2TlPtCl", "functional": "PBE-GGA", "state": "optimized geometry", "energy_ev_per_atom": -5.855, "e_form_raw_ev_per_atom": 0.937, "magmom_total_mub_per_cell": 0.00, "lattice": [[4.5878, 0.0000, 0.0000], [0.0000, 4.5878, 0.0000], [0.0000, 0.0000, 4.6407]], "species": ["Ta", "Ta", "Tl", "Pt", "Cl"], "frac_coords": [[0.0000, 0.5000, 0.0000], [0.5000, 0.0000, 0.0000], [0.0000, 0.0000, 0.5000], [0.5000, 0.5000, 0.5000], [0.5000, 0.5000, 0.0000]]}

***

# 13
{"formula": "TiV3W", "functional": "PBE-GGA", "state": "optimized geometry", "energy_ev_per_atom": -8.359, "magmom_total_mub_per_cell": 0.00, "formation_energy_ev_per_atom": 1.28, "relative_energy_ev_per_atom": 1.045, "lattice": [[4.5650, 0.0000, 0.0000], [0.0000, 4.5650, 0.0000], [0.0000, 0.0000, 4.5650]], "species": ["Ti", "V", "V", "V", "W"], "frac_coords": [[0.0000, 0.0000, 0.0000], [0.0000, 0.5000, 0.5000], [0.5000, 0.0000, 0.5000], [0.5000, 0.5000, 0.0000], [0.5000, 0.5000, 0.5000]]}

***

# 14
{"formula": "YFeC3", "functional": "PBE-GGA", "state": "optimized geometry", "energy_ev_per_atom": -7.485, "magmom_total_mub_per_cell": 0.00, "formation_energy_ev_per_atom": 1.04, "relative_energy_ev_per_atom": 0.000, "lattice": [[3.8168, 0.0000, 0.0000], [0.0000, 3.8168, 0.0000], [0.0000, 0.0000, 3.8168]], "species": ["Y", "Fe", "C", "C", "C"], "frac_coords": [[0.0000, 0.0000, 0.0000], [0.5000, 0.5000, 0.5000], [0.0000, 0.5000, 0.5000], [0.5000, 0.0000, 0.5000], [0.5000, 0.5000, 0.0000]]}

***

# 15
{"formula": "MgSe2O", "functional": "PBE-GGA", "state": "optimized geometry", "energy_ev_per_atom": -2.915, "e_form_raw_ev_per_atom": 0.466, "magmom_total_mub_per_cell": 0.00, "relative_energy_ev_per_atom": 0.782, "lattice": [[3.0817, 0.0000, 0.0000], [-1.5408, 2.6688, 0.0000], [0.0000, 0.0000, 26.1846]], "species": ["Mg", "Mg", "Mg", "Se", "Se", "Se", "Se", "Se", "Se", "O", "O", "O"], "frac_coords": [[0.0000, 0.0000, 0.0000], [0.3333, 0.6667, 0.6667], [0.6667, 0.3333, 0.3333], [0.0000, 0.0000, 0.1033], [0.0000, 0.0000, 0.8967], [0.3333, 0.6667, 0.5634], [0.3333, 0.6667, 0.7700], [0.6667, 0.3333, 0.2300], [0.6667, 0.3333, 0.4366], [0.0000, 0.0000, 0.5000], [0.3333, 0.6667, 0.1667], [0.6667, 0.3333, 0.8333]]}

***

# 16
{"formula": "Pm4YTm2", "functional": "PBE-GGA", "state": "optimized geometry", "energy_ev_per_atom": -4.861, "magmom_total_mub_per_cell": 0.00, "formation_energy_ev_per_atom": 0.05, "relative_energy_ev_per_atom": 0.000, "lattice": [[0.0000, 12.0861, 3.2222], [5.9577, 0.0000, 3.2222], [5.9577, 12.0861, 0.0000]], "species": ["Pm", "Pm", "Pm", "Pm", "Pm", "Pm", "Pm", "Pm", "Y", "Y", "Tm", "Tm", "Tm", "Tm"], "frac_coords": [[0.1467, 0.2938, 0.0661], [0.1839, 0.7567, 0.1033], [0.2938, 0.1467, 0.4933], [0.3760, 0.6240, 0.4824], [0.6240, 0.3760, 0.5176], [0.7324, 0.7676, 0.6260], [0.7567, 0.1839, 0.9562], [0.7676, 0.7324, 0.8740], [0.0061, 0.0061, 0.9939], [0.2561, 0.2561, 0.2439], [0.2008, 0.6834, 0.3672], [0.5013, 0.8828, 0.5666], [0.6834, 0.2008, 0.7487], [0.8828, 0.5013, 0.0492]]}

***

# 17
{"formula": "La4TeSe2Br", "functional": "PBE-GGA", "state": "optimized geometry", "energy_ev_per_atom": -5.614, "e_form_raw_ev_per_atom": -1.677, "magmom_total_mub_per_cell": 0.00, "lattice": [[0.0000, 6.1972, 4.3900], [4.4005, 0.0000, 4.3900], [4.4005, 6.1972, 0.0000]], "species": ["La", "La", "La", "La", "Te", "Se", "Se", "Br"], "frac_coords": [[0.2474, 0.7526, 0.2474], [0.5034, 0.9976, 0.4966], [0.7526, 0.2474, 0.7526], [0.9976, 0.5034, 0.0024], [0.4976, 0.4976, 0.5024], [0.2500, 0.2500, 0.2500], [0.7500, 0.7500, 0.7500], [0.0031, 0.0031, 0.9969]]}